(1)
Entry from Alexandria: an optimized crystal structure of Ta2Ti2Nb3 (PBE).

Results
crystal system	triclinic
DOS(E_F)	12.55	states/eV/cell
calculated volume	125	Å³/cell
ΔE_f	26	meV/atom
space-group type	P-1, No. 2

Geometry as POSCAR:
```
Ta2Ti2Nb3
1.0
-0.921 -0.214 -3.181
-3.580 -4.027 -0.471
-6.185 3.856 1.549
Ta Nb Ti
2 3 2
Cartesian
-3.585 -1.937 -2.317 Ta
-7.101 1.551 0.214 Ta
-5.370 0.808 -1.963 Nb
0.000 0.000 0.000 Nb
-5.316 -1.194 -0.139 Nb
-2.655 0.458 -0.997 Ti
-8.031 -0.843 -1.106 Ti
```

---

(2)
Entry from Alexandria: an optimized crystal structure of Cs2SiSb (PBE).

Results
crystal system	tetragonal
E above lowest polymorph	141	meV/atom
DOS(E_F)	5.92	states/eV/cell
formation energy (no corrections)	57.9	meV/atom
calculated volume	518	Å³/cell
space-group type	I-42d, No. 122

Geometry as POSCAR:
```
Cs2SiSb
1.0
-4.615 12.307 -4.779
-6.748 2.153 12.059
-3.533 8.420 4.630
Cs Si Sb
4 2 2
Cartesian
-11.285 18.550 7.508 Cs
-8.217 12.154 8.538 Cs
-3.717 7.683 0.604 Cs
-6.571 7.372 7.172 Cs
-5.681 7.230 3.640 Si
-7.981 8.901 10.165 Si
-6.914 13.978 1.746 Sb
0.000 0.000 0.000 Sb
```